<a>
The following is a DFT calculation (PBEsol) of Tl3Au after structural relaxation.

abc: 4.6320 4.6320 4.6320
angles: 90.00 90.00 90.00
Space group Pm-3m (No. 221)
Asymmetric unit:
Tl (0.0000, 0.0000, 0.5000)
Au (0.5000, 0.5000, 0.5000)

<b>
The following is a DFT calculation (PBEsol) of Tl3Au after structural relaxation.

abc: 6.9939 6.9939 9.5645
angles: 90.00 90.00 120.00
Space group P6_3/mmc (No. 194)
Asymmetric unit:
Tl (0.0000, 0.5000, 0.0000)
Tl (0.1555, 0.3111, 0.2500)
Au (0.0000, 0.0000, 0.0000)
Au (0.3333, 0.6667, 0.7500)

<c>
The following is a DFT calculation (PBEsol) of Tl3Au after structural relaxation.

abc: 3.8092 4.5016 6.3031
angles: 90.00 107.15 90.00
Space group P2/m (No. 10)
Asymmetric unit:
Tl (0.0000, 0.0000, 0.0000)
Tl (0.4147, 0.5000, 0.7287)
Au (0.0000, 0.0000, 0.5000)

<d>
The following is a DFT calculation (PBEsol) of Tl3Au after structural relaxation.

abc: 3.5332 5.4110 10.6719
angles: 90.00 90.00 90.00
Space group Immm (No. 71)
Asymmetric unit:
Tl (0.0000, 0.0000, 0.0000)
Tl (0.0000, 0.5000, 0.2181)
Au (0.0000, 0.0000, 0.5000)

Relative energies, in meV/atom, with the most stable structure set to zero: <a> 48; <b> 36; <c> 25; <d> 0.

<a>
The following is a DFT calculation (PBEsol) of Tl3Au after structural relaxation.

abc: 3.5270 3.5270 9.5452
angles: 90.00 90.00 120.00
Space group P-6m2 (No. 187)
Asymmetric unit:
Tl (0.0000, 0.0000, 0.0000)
Tl (0.3333, 0.6667, 0.2823)
Au (0.0000, 0.0000, 0.5000)

<b>
The following is a DFT calculation (PBEsol) of Tl3Au after structural relaxation.

abc: 4.6361 4.6361 9.2211
angles: 90.00 90.00 90.00
Space group I4/mmm (No. 139)
Asymmetric unit:
Tl (0.0000, 0.0000, 0.0000)
Tl (0.0000, 0.5000, 0.2500)
Au (0.0000, 0.0000, 0.5000)

Relative energies, in meV/atom, with the most stable structure set to zero: <a> 0; <b> 27.

<a>
The following is a DFT calculation (PBEsol) of TlAu4 after structural relaxation.

abc: 7.3149 7.3149 3.5494
angles: 90.00 90.00 90.00
Space group I4/m (No. 87)
Asymmetric unit:
Tl (0.0000, 0.0000, 0.0000)
Au (0.1365, 0.6597, 0.5000)

<b>
The following is a DFT calculation (PBEsol) of TlAu4 after structural relaxation.

abc: 3.8750 3.8750 13.5434
angles: 90.00 90.00 90.00
Space group I4/mmm (No. 139)
Asymmetric unit:
Tl (0.0000, 0.0000, 0.0000)
Au (0.0000, 0.0000, 0.4006)
Au (0.0000, 0.5000, 0.2500)

Relative energies, in meV/atom, with the most stable structure set to zero: <a> 0; <b> 19.